## P
Material: Cu3Rh4
Method: DFT, PBE-GGA
State: optimized geometry

Summary:
mass density: 10.59 g cm⁻³

Cell lengths 4.7088, 4.7088, 4.9199 Å; angles 90.00, 90.00, 120.00 degrees
Each line ends with the local moment (μB).
Fractional coordinates of all 7 atoms:
Cu (0.0000, 0.5000, 0.0000)  0.03
Cu (0.5000, 0.5000, 0.0000)  0.03
Cu (0.5000, 0.0000, 0.0000)  0.03
Rh (0.0000, 0.0000, 0.2565)  0.52
Rh (0.0000, 0.0000, 0.7435)  0.52
Rh (0.6667, 0.3333, 0.5000)  0.63
Rh (0.3333, 0.6667, 0.5000)  0.63


## Q
Material: Cu3Rh4
Method: DFT, PBE-GGA
State: optimized geometry

Summary:
mass density: 10.65 g cm⁻³

Cell lengths 12.8183, 2.7222, 2.7222 Å; angles 90.00, 83.90, 96.10 degrees
Fractional coordinates of all 7 atoms:
Cu (0.0000, 0.0000, 0.0000)
Cu (0.5644, 0.2822, 0.7178)
Cu (0.4356, 0.7178, 0.2822)
Rh (0.2911, 0.1455, 0.8545)
Rh (0.8542, 0.4271, 0.5729)
Rh (0.1458, 0.5729, 0.4271)
Rh (0.7089, 0.8545, 0.1455)


The data favor Q; the next most stable structure lies 10.6 kJ/mol of atoms above it.


## P
Material: Cu2RuRh
Method: DFT, PBE-GGA
State: optimized geometry

Summary:
mass density: 10.50 g cm⁻³

Cell lengths 4.9410, 4.9410, 4.9410 Å; angles 145.78, 128.69, 63.13 degrees
Fractional coordinates of all 4 atoms:
Cu (0.9903, 0.9903, 0.0000)
Cu (0.7591, 0.2591, 0.5000)
Rh (0.5041, 0.5041, 0.0000)
Ru (0.2466, 0.7466, 0.5000)


## Q
Material: Cu2RuRh
Method: DFT, PBE-GGA
State: optimized geometry

Summary:
mass density: 10.43 g cm⁻³

Cell lengths 4.2083, 4.2083, 4.2083 Å; angles 60.00, 60.00, 60.00 degrees
Each line ends with the local moment (μB).
Fractional coordinates of all 4 atoms:
Ru (0.0000, 0.0000, 0.0000)  0.88
Rh (0.5000, 0.5000, 0.5000)  0.34
Cu (0.2500, 0.2500, 0.2500)  0.12
Cu (0.7500, 0.7500, 0.7500)  0.12


The data favor P; the next most stable structure lies 8.3 kJ/mol of atoms above it.